DFT (PBE) results for Ba3GaSn after structural relaxation.

Cell and atoms, written as POSCAR:
```
Ba3GaSn
1.0
-1.345 -2.696 3.136
7.822 4.544 4.244
-6.570 7.038 3.230
Sn Ga Ba
2 2 6
Direct
0.412 0.855 0.293 Sn
0.633 0.300 0.129 Sn
0.242 0.518 0.665 Ga
0.801 0.636 0.757 Ga
0.772 0.577 0.398 Ba
0.417 0.867 0.647 Ba
0.067 0.167 0.380 Ba
0.626 0.287 0.774 Ba
0.978 0.987 0.042 Ba
0.272 0.577 0.023 Ba
```

Summary:
As for the total magnetic moment: 0.30 μB per formula unit. The value obtained for the excess energy over the best structure of this formula in the dataset is 0.000 eV/atom. Its formation energy is -0.411 eV per atom.



DFT (PBE) results for Ba2Ga2Sn3 after structural relaxation.

Cell and atoms, written as POSCAR:
```
Ba2Ga2Sn3
1.0
-3.106 -0.825 4.242
6.024 -3.063 3.815
4.099 10.082 1.623
Ba Sn Ga
4 6 4
Direct
0.047 0.750 0.094 Ba
0.161 0.250 0.321 Ba
0.953 0.250 0.906 Ba
0.839 0.750 0.679 Ba
0.435 0.937 0.869 Sn
0.565 0.063 0.131 Sn
0.217 0.750 0.435 Sn
0.435 0.563 0.869 Sn
0.565 0.437 0.131 Sn
0.783 0.250 0.565 Sn
0.308 0.438 0.615 Ga
0.692 0.938 0.385 Ga
0.308 0.062 0.615 Ga
0.692 0.562 0.385 Ga
```

Summary:
As for the total magnetic moment: 0.00 μB per formula unit. The value obtained for the excess energy over the best structure of this formula in the dataset is 0.038 eV/atom. Its formation energy is -0.451 eV per atom.



DFT (PBE) results for Ba8GaSn2 after structural relaxation.

Cell and atoms, written as POSCAR:
```
Ba8GaSn2
1.0
5.942 0.000 0.000
0.000 8.106 0.216
-2.971 -3.207 10.378
Ba Ga Sn
8 1 2
Direct
0.029 0.796 0.058 Ba
0.791 0.697 0.582 Ba
0.341 0.046 0.683 Ba
0.209 0.303 0.418 Ba
0.407 0.566 0.814 Ba
0.971 0.204 0.942 Ba
0.593 0.434 0.186 Ba
0.659 0.954 0.317 Ba
0.500 0.000 0.000 Ga
0.189 0.718 0.377 Sn
0.811 0.282 0.623 Sn
```

Summary:
As for the total magnetic moment: 0.00 μB per formula unit. The value obtained for the excess energy over the best structure of this formula in the dataset is 0.000 eV/atom. Its formation energy is -0.359 eV per atom.



DFT (PBE) results for Ba2Ga3Sn after structural relaxation.

Cell and atoms, written as POSCAR:
```
Ba2Ga3Sn
1.0
6.888 -0.202 0.000
-0.626 6.862 0.000
-3.131 -3.330 7.922
Ba Ga Sn
4 6 2
Direct
0.250 0.750 0.500 Ba
0.750 0.250 0.500 Ba
0.742 0.258 0.000 Ba
0.258 0.742 0.000 Ba
0.841 0.841 0.682 Ga
0.840 0.840 0.160 Ga
0.319 0.319 0.160 Ga
0.159 0.159 0.318 Ga
0.160 0.160 0.840 Ga
0.681 0.681 0.840 Ga
0.668 0.668 0.336 Sn
0.332 0.332 0.664 Sn
```

Summary:
As for the total magnetic moment: 0.00 μB per formula unit. The value obtained for the excess energy over the best structure of this formula in the dataset is 0.000 eV/atom. Its formation energy is -0.534 eV per atom.



What did the second record say?
DFT (PBE) results for Ba2Ga2Sn3 after structural relaxation.

Cell and atoms, written as POSCAR:
```
Ba2Ga2Sn3
1.0
-3.106 -0.825 4.242
6.024 -3.063 3.815
4.099 10.082 1.623
Ba Sn Ga
4 6 4
Direct
0.047 0.750 0.094 Ba
0.161 0.250 0.321 Ba
0.953 0.250 0.906 Ba
0.839 0.750 0.679 Ba
0.435 0.937 0.869 Sn
0.565 0.063 0.131 Sn
0.217 0.750 0.435 Sn
0.435 0.563 0.869 Sn
0.565 0.437 0.131 Sn
0.783 0.250 0.565 Sn
0.308 0.438 0.615 Ga
0.692 0.938 0.385 Ga
0.308 0.062 0.615 Ga
0.692 0.562 0.385 Ga
```

Summary:
As for the total magnetic moment: 0.00 μB per formula unit. The value obtained for the excess energy over the best structure of this formula in the dataset is 0.038 eV/atom. Its formation energy is -0.451 eV per atom.



Which value of excess energy over the best structure of this formula in the dataset does entry 2 give? 0.038 eV/atom



What is the formula in the third record? Ba8GaSn2